The following is a DFT calculation (PBE) of a geometry-optimized TbMgBi3 structure.

Lattice parameters (Å, degrees): 13.7918 6.4914 6.5143 90.00 90.00 90.00
Space group Pbcm (No. 57)
One atom of each set of equivalent atoms:
Tb1 0.1804 0.0024 0.2500 (multiplicity 4)
Mg1 0.3865 0.7500 0.0000 (multiplicity 4)
Bi1 0.0031 0.7500 0.0000 (multiplicity 4)
Bi2 0.2331 0.0047 0.7500 (multiplicity 4)
Bi3 0.4179 0.1705 0.2500 (multiplicity 4)

DOS(E_F) in states/eV per cell: 8.3
E_form in eV/atom: -0.3906
Magnetic moment in Bohr magnetons per cell: 0.00